No. 1
Computed, not measured: a relaxed ZnSnPdRu crystal at the PBE-GGA level of DFT.

For the volume, the calculation gives 15.8 A^3/atom. Its total DFT energy (no corrections) is -5.2080 eV per atom.

The structure belongs to space group Pmmm (No. 47); the cell edges are 3.230, 4.376 and 4.481 Å and the angles 90.00°, 90.00° and 90.00°. The distinct sites, in fractional coordinates, are Zn at (0.000, 0.000, 0.000), Sn at (0.000, 0.500, 0.500), Pd at (0.500, 0.500, 0.000) and Ru at (0.500, 0.000, 0.500).

---

No. 2
Computed, not measured: a relaxed FeSbTe2W crystal at the PBE-GGA level of DFT.

As for the uncorrected formation energy: 111 kJ per mole of atoms. For the volume, the calculation gives 29.6 A^3/atom. The relative energy among the computed polymorphs is 0.0000 eV per atom.

The structure belongs to space group P4/mmm (No. 123); the cell edges are 5.275, 5.275 and 5.323 Å and the angles 90.00°, 90.00° and 90.00°. The distinct sites, in fractional coordinates, are Fe at (0.000, 0.000, 0.000), Sb at (0.500, 0.500, 0.000), Te at (0.000, 0.500, 0.500) and W at (0.500, 0.500, 0.500).

---

Number 2 is which compound?
FeSbTe2W

---

What is the formula in the first record?
ZnSnPdRu

---

Copy entry 1 word for word.
Computed, not measured: a relaxed ZnSnPdRu crystal at the PBE-GGA level of DFT.

For the volume, the calculation gives 15.8 A^3/atom. Its total DFT energy (no corrections) is -5.2080 eV per atom.

The structure belongs to space group Pmmm (No. 47); the cell edges are 3.230, 4.376 and 4.481 Å and the angles 90.00°, 90.00° and 90.00°. The distinct sites, in fractional coordinates, are Zn at (0.000, 0.000, 0.000), Sn at (0.000, 0.500, 0.500), Pd at (0.500, 0.500, 0.000) and Ru at (0.500, 0.000, 0.500).